(1)
Density functional theory data (PBE-GGA) for an optimized crystal structure of Na2GaPb.

Unit cell a=5.267 b=5.267 c=5.267 alpha=60.00 beta=60.00 gamma=60.00
Sites, in units of the cell vectors:
Pb: 0.500 0.500 0.500
Na: 0.250 0.250 0.250
Na: 0.750 0.750 0.750
Ga: 0.000 0.000 0.000

Calculated values
DOS(E_F), states/eV/f.u.: 3.4
E_tot, eV per atom: -2.3612
Calculated formation energy, eV/atom: -0.018
Density, g/cm3: 5.189


(2)
Density functional theory data (PBE-GGA) for an optimized crystal structure of Na2GaPb.

Unit cell a=4.553 b=6.131 c=9.215 alpha=74.36 beta=75.70 gamma=68.20
Sites, in units of the cell vectors:
Na: 0.487 0.352 0.674
Na: 0.787 0.456 0.970
Na: 0.828 0.816 0.529
Na: 0.242 0.213 0.302
Ga: 0.479 0.044 0.998
Ga: 0.032 0.811 0.126
Pb: 0.533 0.621 0.312
Pb: 0.153 0.905 0.788

Calculated values
DOS(E_F), states/eV/f.u.: 1.2
E_tot, eV per atom: -2.4388
Calculated formation energy, eV/atom: -0.096
Density, g/cm3: 4.728


(3)
Density functional theory data (PBE-GGA) for an optimized crystal structure of Na12GaPb6.

Unit cell a=8.337 b=8.337 c=8.337 alpha=88.84 beta=91.16 gamma=91.16
Sites, in units of the cell vectors:
Ga: 0.000 0.000 0.000
Pb: 0.123 0.742 0.259
Pb: 0.742 0.741 0.123
Pb: 0.741 0.877 0.742
Pb: 0.259 0.123 0.258
Pb: 0.877 0.258 0.741
Pb: 0.258 0.259 0.877
Na: 0.962 0.373 0.138
Na: 0.480 0.815 0.421
Na: 0.627 0.138 0.038
Na: 0.815 0.579 0.480
Na: 0.185 0.421 0.520
Na: 0.520 0.185 0.579
Na: 0.421 0.480 0.185
Na: 0.579 0.520 0.815
Na: 0.138 0.962 0.627
Na: 0.373 0.862 0.962
Na: 0.862 0.038 0.373
Na: 0.038 0.627 0.862

Calculated values
DOS(E_F), states/eV/f.u.: 9.7
E_tot, eV per atom: -2.2654
Calculated formation energy, eV/atom: -0.102
Density, g/cm3: 4.556